A plane-wave DFT calculation with GGA-PBE was carried out for a relaxed Hg2SbSe crystal.

spin magnetization: 0.0 μB per formula unit
ΔE_f (raw): 0.006 eV/atom
N(E_F): 1.28 states/eV/f.u.

Cell: 12.7249 3.6942 4.7891 Å, 90.00 110.88 90.00°
With the nearest neighbours (Å) after each atom.
Fractional coordinates of all 8 atoms:
Hg1 0.2476 0.0000 0.2475  1 Se 2.94, 1 Sb 3.00, 4 Hg 3.02-3.03
Hg2 0.2524 0.5000 0.7525  1 Se 2.94, 1 Sb 3.00, 4 Hg 3.02-3.03
Hg3 0.7476 0.5000 0.2475  1 Se 2.94, 1 Sb 3.00, 4 Hg 3.02-3.03
Hg4 0.7524 0.0000 0.7525  1 Se 2.94, 1 Sb 3.00, 4 Hg 3.02-3.03
Sb1 0.0000 0.5000 0.5000  2 Hg 3.00, 4 Se 3.02
Sb2 0.5000 0.0000 0.5000  2 Hg 3.00, 4 Se 3.02
Se1 0.0000 0.0000 0.0000  2 Hg 2.94, 4 Sb 3.02
Se2 0.5000 0.5000 0.0000  2 Hg 2.94, 4 Sb 3.02